No. 1
ScCoP2: optimized geometry, PBE-GGA. Values from VASP.

Structure (Quantum ESPRESSO input):
```
&SYSTEM
  ibrav = 0, nat = 4, ntyp = 3
/
ATOMIC_SPECIES
Sc 44.96 Sc.upf
Co 58.93 Co.upf
P 30.97 P.upf
CELL_PARAMETERS angstrom
3.8876 0.0000 0.0000
0.0000 3.8742 0.0000
-0.6351 0.0000 4.1163
ATOMIC_POSITIONS angstrom
Sc 0.0000 0.0000 0.0000
Co 1.0270 1.9371 2.4477
P 1.9753 1.9371 0.4431
P 1.9497 0.0000 1.8893
```

=====

No. 2
ScCoP2: optimized geometry, PBE-GGA. Values from VASP.

Structure (Quantum ESPRESSO input):
```
&SYSTEM
  ibrav = 0, nat = 4, ntyp = 3
/
ATOMIC_SPECIES
Sc 44.96 Sc.upf
Co 58.93 Co.upf
P 30.97 P.upf
CELL_PARAMETERS angstrom
1.5586 0.8999 7.1342
-1.5586 0.8999 7.1342
0.0000 -1.7997 7.1342
ATOMIC_POSITIONS angstrom
Sc 0.0000 0.0000 0.0000
Co 0.0000 0.0000 16.3140
P 0.0000 0.0000 5.0979
P 0.0000 0.0000 10.5391
```

=====

No. 3
Sc2Co2P: optimized geometry, PBE-GGA. Values from VASP.

Structure (Quantum ESPRESSO input):
```
&SYSTEM
  ibrav = 0, nat = 10, ntyp = 3
/
ATOMIC_SPECIES
Sc 44.96 Sc.upf
Co 58.93 Co.upf
P 30.97 P.upf
CELL_PARAMETERS angstrom
6.0879 0.0000 0.0000
0.0000 6.0879 0.0000
0.0000 0.0000 4.0047
ATOMIC_POSITIONS angstrom
Sc 1.0763 1.9677 0.0000
Sc 1.9677 5.0116 0.0000
Sc 4.1202 1.0763 0.0000
Sc 5.0116 4.1202 0.0000
Co 0.8415 3.8854 2.0024
Co 2.2025 0.8415 2.0024
Co 3.8854 5.2464 2.0024
Co 5.2464 2.2025 2.0024
P 0.0000 0.0000 2.0024
P 3.0439 3.0439 2.0024
```

=====

No. 4
ScCoP3: optimized geometry, PBE-GGA. Values from VASP.

Structure (Quantum ESPRESSO input):
```
&SYSTEM
  ibrav = 0, nat = 5, ntyp = 3
/
ATOMIC_SPECIES
Sc 44.96 Sc.upf
Co 58.93 Co.upf
P 30.97 P.upf
CELL_PARAMETERS angstrom
4.3971 0.0000 0.0000
0.0000 4.3971 0.0000
0.0000 0.0000 4.3971
ATOMIC_POSITIONS angstrom
Sc 0.0000 0.0000 0.0000
Co 2.1985 2.1985 2.1985
P 0.0000 2.1985 2.1985
P 2.1985 0.0000 2.1985
P 2.1985 2.1985 0.0000
```

=====

no.,ρ (g cm⁻³),E_tot (eV per atom)
1,4.44,-6.647
2,4.59,-6.188
3,5.34,-6.978
4,3.84,-5.874